[1]
# ScAsW2 PBE relaxed
data_ScAsW2
_chemical_formula_sum 'Sc1 As1 W2'
_cell_length_a 2.8684
_cell_length_b 4.8190
_cell_length_c 5.0182
_cell_angle_alpha 90.00
_cell_angle_beta 91.76
_cell_angle_gamma 90.00
_space_group_name_H-M_alt 'P 1 2/m 1'
_space_group_IT_number 10
_space_group_name_Hall '-P 2y'
loop_
_atom_site_label
_atom_site_fract_x
_atom_site_fract_y
_atom_site_fract_z
_atom_site_occupancy
Sc1 0.0000 0.0000 0.0000 1
As1 0.5000 0.0000 0.5000 1
W1 0.3681 0.5000 0.7523 1
# Total moment (μB/cell): 0.00
# ΔH_f (0 K) (eV per atom): 0.149
# V (Å³ per cell): 69.3

=====

[2]
# Sc2BeSi PBE relaxed
data_Sc2BeSi
_chemical_formula_sum 'Sc8 Be4 Si4'
_cell_length_a 6.4093
_cell_length_b 6.4093
_cell_length_c 6.4093
_cell_angle_alpha 90.00
_cell_angle_beta 90.00
_cell_angle_gamma 90.00
_space_group_name_H-M_alt 'F m -3 m'
_space_group_IT_number 225
_space_group_name_Hall '-F 4 2 3'
loop_
_atom_site_label
_atom_site_fract_x
_atom_site_fract_y
_atom_site_fract_z
_atom_site_occupancy
Sc1 0.2500 0.2500 0.2500 1
Be1 0.0000 0.0000 0.0000 1
Si1 0.0000 0.0000 0.5000 1
# Total moment (μB/cell): 0.00
# ΔE_f (raw) (meV/atom): -349
# Energy relative to the lowest polymorph listed for this composition (eV per formula unit): 0.61
# V (Å³ per cell): 263.3

=====

[3]
# NaCdPbCl5 PBE relaxed
data_NaCdPbCl5
_chemical_formula_sum 'Na4 Cd4 Pb4 Cl20'
_cell_length_a 10.5340
_cell_length_b 10.1393
_cell_length_c 10.5366
_cell_angle_alpha 90.00
_cell_angle_beta 115.90
_cell_angle_gamma 90.00
_space_group_name_H-M_alt 'C 1 2/c 1'
_space_group_IT_number 15
_space_group_name_Hall '-C 2yc'
loop_
_atom_site_label
_atom_site_fract_x
_atom_site_fract_y
_atom_site_fract_z
_atom_site_occupancy
Na1 0.0000 0.0246 0.2500 1
Cd1 0.2500 0.2500 0.0000 1
Pb1 0.0000 0.4380 0.2500 1
Cl1 0.0000 0.2523 0.7500 1
Cl2 0.1011 0.2323 0.1493 1
Cl3 0.2409 0.4966 0.5153 1
# Total moment (μB/cell): 0.00
# ΔE_f (raw) (meV/atom): -1244
# V (Å³ per cell): 1012.3

=====

[4]
# TaRu2W PBE relaxed
data_TaRu2W
_chemical_formula_sum 'Ta1 Ru2 W1'
_cell_length_a 4.1183
_cell_length_b 4.1183
_cell_length_c 3.6673
_cell_angle_alpha 90.00
_cell_angle_beta 90.00
_cell_angle_gamma 90.00
_space_group_name_H-M_alt 'P 4/m m m'
_space_group_IT_number 123
_space_group_name_Hall '-P 4 2'
loop_
_atom_site_label
_atom_site_fract_x
_atom_site_fract_y
_atom_site_fract_z
_atom_site_occupancy
Ta1 0.0000 0.0000 0.0000 1
Ru1 0.0000 0.5000 0.5000 1
W1 0.5000 0.5000 0.0000 1
# Total moment (μB/cell): 0.00
# ΔH_f (0 K) (eV per atom): -0.071
# Energy relative to the lowest polymorph listed for this composition (eV per formula unit): 0.02
# V (Å³ per cell): 62.2

=====

Among the records above, which one has the highest V? NaCdPbCl5